1.
NaIn2MoP: optimized geometry, GGA-PBE.

Unit cell a=5.3250 b=5.6373 c=5.3250 alpha=90.00 beta=90.00 gamma=90.00
Last column: nearest neighbours and their distance in Å.
Fractional positions:
P 0.5000 0.5000 0.5000  4 Na 3.77, 8 In 3.88
Na 0.0000 0.5000 0.0000  2 Mo 2.82
Mo 0.0000 0.0000 0.0000  4 In 2.66, 2 Na 2.82
In 0.0000 0.0000 0.5000  2 Mo 2.66
In 0.5000 0.0000 0.0000  2 Mo 2.66

Values from the calculation:
As for the formation enthalpy at 0 K: 1.20 eV/atom. The density of states at the Fermi level comes out at 2.642 states/eV per cell. As for the spin magnetization: 4.31 μB/cell. The value obtained for the raw total energy is -3.4115 eV/atom. Its symmetry is No. 123.

***

2.
RbNaInMo2: optimized geometry, GGA-PBE.

Unit cell a=6.1897 b=5.4281 c=6.1897 alpha=90.00 beta=90.00 gamma=90.00
Last column: nearest neighbours and their distance in Å.
Fractional positions:
Mo 0.0000 0.0000 0.5000  2 Rb 3.09
Mo 0.5000 0.0000 0.0000  2 Rb 3.09
Na 0.0000 0.5000 0.0000  2 Rb 2.71
In 0.5000 0.5000 0.5000  8 Mo 4.12, 4 Na 4.38
Rb 0.0000 0.0000 0.0000  2 Na 2.71

Values from the calculation:
As for the formation enthalpy at 0 K: 2.53 eV/atom. The density of states at the Fermi level comes out at 3.224 states/eV per cell. As for the spin magnetization: 9.48 μB/cell. The value obtained for the raw total energy is -2.8118 eV/atom. Its symmetry is No. 123.

***

3.
Na2InMoRu: optimized geometry, GGA-PBE.

Unit cell a=5.2922 b=5.0302 c=5.2922 alpha=90.00 beta=90.00 gamma=90.00
Last column: nearest neighbours and their distance in Å.
Fractional positions:
In 0.0000 0.0000 0.0000  2 Ru 2.52, 4 Na 2.65
Na 0.5000 0.0000 0.0000  2 In 2.65
Na 0.0000 0.0000 0.5000  2 In 2.65
Mo 0.5000 0.5000 0.5000  8 Na 3.65, 4 Ru 3.74
Ru 0.0000 0.5000 0.0000  2 In 2.52

Values from the calculation:
As for the formation enthalpy at 0 K: 1.62 eV/atom. The density of states at the Fermi level comes out at 2.207 states/eV per cell. As for the spin magnetization: 5.19 μB/cell. The value obtained for the raw total energy is -3.4750 eV/atom. Its symmetry is No. 123.

***

4.
Na2InMoRu: optimized geometry, GGA-PBE.

Unit cell a=5.7047 b=4.5233 c=5.7047 alpha=90.00 beta=90.00 gamma=90.00
Last column: nearest neighbours and their distance in Å.
Fractional positions:
Na 0.5000 0.0000 0.0000  2 Mo 2.85
Na 0.0000 0.0000 0.5000  2 Mo 2.85
Mo 0.0000 0.0000 0.0000  2 Ru 2.26
In 0.5000 0.5000 0.5000  8 Na 3.64, 4 Ru 4.03
Ru 0.0000 0.5000 0.0000  2 Mo 2.26

Values from the calculation:
As for the formation enthalpy at 0 K: 1.23 eV/atom. The density of states at the Fermi level comes out at 6.191 states/eV per cell. As for the spin magnetization: 1.67 μB/cell. The value obtained for the raw total energy is -3.8641 eV/atom. Its symmetry is No. 123.

***

5.
NaInMo6Se6: optimized geometry, GGA-PBE.

Unit cell a=8.9328 b=8.9328 c=4.5275 alpha=90.00 beta=90.00 gamma=120.00
Last column: nearest neighbours and their distance in Å.
Fractional positions:
Mo 0.8550 0.3709 0.0000  4 Se 2.63-2.72, 6 Mo 2.67-2.74
Mo 0.7050 0.1833 0.5000  4 Se 2.63-2.72, 6 Mo 2.67-2.74
Mo 0.6291 0.4841 0.0000  4 Se 2.63-2.72, 6 Mo 2.67-2.74
Mo 0.8167 0.5217 0.5000  4 Se 2.63-2.72, 6 Mo 2.67-2.74
Mo 0.5159 0.1450 0.0000  4 Se 2.63-2.72, 6 Mo 2.67-2.74
Mo 0.4783 0.2950 0.5000  4 Se 2.63-2.72, 6 Mo 2.67-2.74
Se 0.3709 0.9596 0.5000  4 Mo 2.63-2.72
Se 0.2951 0.2590 0.0000  4 Mo 2.63-2.72
Se 0.7410 0.0362 0.0000  4 Mo 2.63-2.72
Se 0.0404 0.4113 0.5000  4 Mo 2.63-2.72
Se 0.9638 0.7049 0.0000  4 Mo 2.63-2.72
Se 0.5887 0.6291 0.5000  4 Mo 2.63-2.72
Na 0.3333 0.6667 0.0000  9 Se 3.35-3.48, 3 Mo 3.73
In 0.0000 0.0000 0.5000  9 Se 3.37-3.51, 3 Mo 3.73

Values from the calculation:
The density of states at the Fermi level comes out at 2.163 states/eV per cell. As for the spin magnetization: 0.00 μB/cell. The value obtained for the raw total energy is -6.9617 eV/atom. The formation energy without anion corrections comes out at -536.6 meV per atom. Its symmetry is No. 174.

***

6.
NaInSn2Mo: optimized geometry, GGA-PBE.

Unit cell a=5.3063 b=5.2565 c=5.3063 alpha=90.00 beta=90.00 gamma=90.00
Last column: nearest neighbours and their distance in Å.
Fractional positions:
Mo 0.5000 0.5000 0.5000  8 Sn 3.73, 4 In 3.75
Na 0.0000 0.0000 0.0000  2 In 2.63, 4 Sn 2.65
In 0.0000 0.5000 0.0000  2 Na 2.63
Sn 0.0000 0.0000 0.5000  2 Na 2.65
Sn 0.5000 0.0000 0.0000  2 Na 2.65

Values from the calculation:
As for the formation enthalpy at 0 K: 1.29 eV/atom. The density of states at the Fermi level comes out at 1.705 states/eV per cell. As for the spin magnetization: 4.15 μB/cell. The value obtained for the raw total energy is -3.2873 eV/atom. Its symmetry is No. 123.

***

7.
NaZrInMo2: optimized geometry, GGA-PBE.

Unit cell a=4.9320 b=5.6520 c=4.9320 alpha=90.00 beta=90.00 gamma=90.00
Last column: nearest neighbours and their distance in Å.
Fractional positions:
Na 0.5000 0.5000 0.5000  4 In 3.49, 8 Mo 3.75
Mo 0.5000 0.0000 0.0000  2 Zr 2.47
Mo 0.0000 0.0000 0.5000  2 Zr 2.47
Zr 0.0000 0.0000 0.0000  4 Mo 2.47
In 0.0000 0.5000 0.0000  2 Zr 2.83

Values from the calculation:
As for the formation enthalpy at 0 K: 1.45 eV/atom. The density of states at the Fermi level comes out at 3.434 states/eV per cell. As for the spin magnetization: 3.00 μB/cell. The value obtained for the raw total energy is -5.4030 eV/atom. Its symmetry is No. 123.

***

8.
Nb2InMo: optimized geometry, GGA-PBE.

Unit cell a=3.3549 b=3.3549 c=6.5653 alpha=90.00 beta=90.00 gamma=90.00
Last column: nearest neighbours and their distance in Å.
Fractional positions:
Nb 0.0000 0.0000 0.7785  4 Mo 2.78, 1 Nb 2.91, 4 In 3.00
Nb 0.0000 0.0000 0.2215  4 Mo 2.78, 1 Nb 2.91, 4 In 3.00
In 0.5000 0.5000 0.5000  8 Nb 3.00, 2 Mo 3.28
Mo 0.5000 0.5000 0.0000  8 Nb 2.78

Values from the calculation:
As for the formation enthalpy at 0 K: -0.01 eV/atom. The density of states at the Fermi level comes out at 2.538 states/eV per cell. As for the spin magnetization: 0.00 μB/cell. The value obtained for the raw total energy is -8.4330 eV/atom. Its symmetry is No. 123.

***

9.
NbIn2Mo2: optimized geometry, GGA-PBE.

Unit cell a=3.7303 b=3.7303 c=7.5481 alpha=75.69 beta=75.69 gamma=90.00
Last column: nearest neighbours and their distance in Å.
Fractional positions:
Mo 0.2500 0.7500 0.5000  4 Mo 2.64, 4 In 2.85
Mo 0.7500 0.2500 0.5000  4 Mo 2.64, 4 In 2.85
Nb 0.0000 0.0000 0.0000  8 In 2.98
In 0.4023 0.4023 0.1955  1 In 2.76, 4 Mo 2.85, 4 Nb 2.98
In 0.5977 0.5977 0.8045  1 In 2.76, 4 Mo 2.85, 4 Nb 2.98

Values from the calculation:
As for the formation enthalpy at 0 K: 0.60 eV/atom. The density of states at the Fermi level comes out at 4.472 states/eV per cell. As for the spin magnetization: 0.00 μB/cell. The value obtained for the raw total energy is -6.8402 eV/atom. Its symmetry is No. 139.

***

10.
NbIn2Mo2: optimized geometry, GGA-PBE.

Unit cell a=7.3805 b=7.3805 c=3.4517 alpha=90.00 beta=90.00 gamma=90.00
Last column: nearest neighbours and their distance in Å.
Fractional positions:
Mo 0.1661 0.6661 0.5000  6 In 2.70-2.82
Mo 0.3339 0.1661 0.5000  6 In 2.70-2.82
Mo 0.8339 0.3339 0.5000  6 In 2.70-2.82
Mo 0.6661 0.8339 0.5000  6 In 2.70-2.82
In 0.6348 0.1348 0.0000  6 Mo 2.70-2.82, 1 In 2.81, 2 Nb 2.87
In 0.3652 0.8652 0.0000  6 Mo 2.70-2.82, 1 In 2.81, 2 Nb 2.87
In 0.8652 0.6348 0.0000  6 Mo 2.70-2.82, 1 In 2.81, 2 Nb 2.87
In 0.1348 0.3652 0.0000  6 Mo 2.70-2.82, 1 In 2.81, 2 Nb 2.87
Nb 0.0000 0.0000 0.0000  4 In 2.87
Nb 0.5000 0.5000 0.0000  4 In 2.87

Values from the calculation:
As for the formation enthalpy at 0 K: 0.54 eV/atom. The density of states at the Fermi level comes out at 10.153 states/eV per cell. As for the spin magnetization: 0.00 μB/cell. The value obtained for the raw total energy is -6.8980 eV/atom. Its symmetry is No. 127.

***

11.
Nb2InMo: optimized geometry, GGA-PBE.

Unit cell a=3.1534 b=3.1534 c=9.0839 alpha=80.00 beta=80.00 gamma=60.00
Last column: nearest neighbours and their distance in Å.
Fractional positions:
Nb 0.7407 0.7407 0.7779  3 Mo 2.69
Nb 0.2593 0.2593 0.2221  3 Mo 2.69
In 0.5000 0.5000 0.5000  6 Nb 3.07, 6 In 3.15
Mo 0.0000 0.0000 0.0000  6 Nb 2.69

Values from the calculation:
As for the formation enthalpy at 0 K: 0.18 eV/atom. The density of states at the Fermi level comes out at 2.514 states/eV per cell. As for the spin magnetization: 0.00 μB/cell. The value obtained for the raw total energy is -8.2497 eV/atom. Its symmetry is No. 166.

***

12.
Nb3InMo: optimized geometry, GGA-PBE.

Unit cell a=4.9395 b=4.9395 c=4.9395 alpha=90.00 beta=90.00 gamma=90.00
Last column: nearest neighbours and their distance in Å.
Fractional positions:
Nb 0.0000 0.0000 0.5000  2 In 2.47
Nb 0.5000 0.0000 0.0000  2 In 2.47
Nb 0.0000 0.5000 0.0000  2 In 2.47
In 0.0000 0.0000 0.0000  6 Nb 2.47
Mo 0.5000 0.5000 0.5000  12 Nb 3.49

Values from the calculation:
As for the formation enthalpy at 0 K: 2.25 eV/atom. The density of states at the Fermi level comes out at 8.377 states/eV per cell. As for the spin magnetization: 0.00 μB/cell. The value obtained for the raw total energy is -6.5083 eV/atom. Its symmetry is No. 221.

***

13.
Nb3InMo: optimized geometry, GGA-PBE.

Unit cell a=4.8601 b=4.8601 c=4.8601 alpha=90.00 beta=90.00 gamma=90.00
Last column: nearest neighbours and their distance in Å.
Fractional positions:
Nb 0.0000 0.0000 0.5000  2 Mo 2.43
Nb 0.5000 0.0000 0.0000  2 Mo 2.43
Nb 0.0000 0.5000 0.0000  2 Mo 2.43
In 0.5000 0.5000 0.5000  12 Nb 3.44
Mo 0.0000 0.0000 0.0000  6 Nb 2.43

Values from the calculation:
As for the formation enthalpy at 0 K: 1.04 eV/atom. The density of states at the Fermi level comes out at 3.658 states/eV per cell. As for the spin magnetization: 0.00 μB/cell. The value obtained for the raw total energy is -7.7202 eV/atom. Its symmetry is No. 221.

***

14.
Nb2InMo: optimized geometry, GGA-PBE.

Unit cell a=7.5508 b=7.5508 c=6.0361 alpha=51.28 beta=51.28 gamma=90.00
Last column: nearest neighbours and their distance in Å.
Fractional positions:
Nb 0.3750 0.4151 0.7500  2 Mo 2.56
Nb 0.8750 0.8349 0.7500  2 Mo 2.56
Nb 0.5849 0.1250 0.2500  2 Mo 2.56
Nb 0.1651 0.6250 0.2500  2 Mo 2.56
In 0.0000 0.0000 0.0000  2 Mo 2.82, 4 Nb 2.98
In 0.7500 0.2500 0.5000  2 Mo 2.82, 4 Nb 2.98
Mo 0.2500 0.7500 0.5000  4 Nb 2.56, 2 In 2.82
Mo 0.5000 0.5000 0.0000  4 Nb 2.56, 2 In 2.82

Values from the calculation:
As for the formation enthalpy at 0 K: 0.60 eV/atom. The density of states at the Fermi level comes out at 7.307 states/eV per cell. As for the spin magnetization: 0.00 μB/cell. The value obtained for the raw total energy is -7.8262 eV/atom. Its symmetry is No. 122.

***

15.
Nb2InMo: optimized geometry, GGA-PBE.

Unit cell a=3.6430 b=4.4686 c=4.4686 alpha=90.00 beta=90.00 gamma=90.00
Last column: nearest neighbours and their distance in Å.
Fractional positions:
Nb 0.0000 0.0000 0.5000  4 In 2.88, 4 Mo 2.88, 4 Nb 3.16
Nb 0.0000 0.5000 0.0000  4 Mo 2.88, 4 In 2.88, 4 Nb 3.16
In 0.5000 0.5000 0.5000  8 Nb 2.88, 4 Mo 3.16
Mo 0.5000 0.0000 0.0000  8 Nb 2.88, 4 In 3.16

Values from the calculation:
As for the formation enthalpy at 0 K: 0.08 eV/atom. The density of states at the Fermi level comes out at 4.136 states/eV per cell. As for the spin magnetization: 0.00 μB/cell. The value obtained for the raw total energy is -8.3473 eV/atom. Its symmetry is No. 123.

***

16.
NbInMo2P: optimized geometry, GGA-PBE.

Unit cell a=4.4557 b=4.9043 c=4.4557 alpha=90.00 beta=90.00 gamma=90.00
Last column: nearest neighbours and their distance in Å.
Fractional positions:
In 0.0000 0.5000 0.0000  2 P 2.45
P 0.0000 0.0000 0.0000  4 Mo 2.23, 2 In 2.45
Nb 0.5000 0.5000 0.5000  4 In 3.15, 8 Mo 3.31
Mo 0.0000 0.0000 0.5000  2 P 2.23
Mo 0.5000 0.0000 0.0000  2 P 2.23

Values from the calculation:
As for the formation enthalpy at 0 K: 0.81 eV/atom. The density of states at the Fermi level comes out at 5.698 states/eV per cell. As for the spin magnetization: 0.00 μB/cell. The value obtained for the raw total energy is -7.1623 eV/atom. Its symmetry is No. 123.

***

17.
NbIn2MoRh: optimized geometry, GGA-PBE.

Unit cell a=4.9323 b=4.7994 c=4.9323 alpha=90.00 beta=90.00 gamma=90.00
Last column: nearest neighbours and their distance in Å.
Fractional positions:
In 0.0000 0.0000 0.5000  2 Rh 2.47
In 0.5000 0.0000 0.0000  2 Rh 2.47
Rh 0.0000 0.0000 0.0000  2 Mo 2.40, 4 In 2.47
Nb 0.5000 0.5000 0.5000  8 In 3.44, 4 Mo 3.49
Mo 0.0000 0.5000 0.0000  2 Rh 2.40

Values from the calculation:
As for the formation enthalpy at 0 K: 1.07 eV/atom. The density of states at the Fermi level comes out at 6.475 states/eV per cell. As for the spin magnetization: 1.12 μB/cell. The value obtained for the raw total energy is -5.6783 eV/atom. Its symmetry is No. 123.

***

18.
NbIn2Mo2S6: optimized geometry, GGA-PBE.

Unit cell a=5.8336 b=5.8336 c=8.4305 alpha=93.56 beta=93.56 gamma=121.61
Last column: nearest neighbours and their distance in Å.
Fractional positions:
Nb 0.0000 0.0000 0.5000  6 S 2.49-2.55
In 0.8340 0.1660 0.0000  6 S 3.12-3.45, 3 In 3.32-3.38
In 0.1660 0.8340 0.0000  6 S 3.12-3.45, 3 In 3.32-3.38
S 0.9757 0.6231 0.3273  2 Mo 2.41-2.59, 1 Nb 2.49
S 0.6231 0.9757 0.3273  2 Mo 2.41-2.59, 1 Nb 2.49
S 0.0243 0.3769 0.6727  2 Mo 2.41-2.59, 1 Nb 2.49
S 0.2981 0.2981 0.2984  2 Mo 2.37, 1 Nb 2.55
S 0.7019 0.7019 0.7016  2 Mo 2.37, 1 Nb 2.55
S 0.3769 0.0243 0.6727  2 Mo 2.41-2.59, 1 Nb 2.49
Mo 0.3649 0.6351 0.5000  6 S 2.37-2.59
Mo 0.6351 0.3649 0.5000  6 S 2.37-2.59

Values from the calculation:
The density of states at the Fermi level comes out at 4.060 states/eV per cell. As for the spin magnetization: 0.00 μB/cell. The value obtained for the raw total energy is -6.2699 eV/atom. The formation energy without anion corrections comes out at -636.0 meV per atom. Its symmetry is No. 12.

***

19.
ScNbInMo: optimized geometry, GGA-PBE.

Unit cell a=4.7507 b=4.7507 c=4.7507 alpha=60.00 beta=60.00 gamma=60.00
Last column: nearest neighbours and their distance in Å.
Fractional positions:
Sc 0.0000 0.0000 0.0000  4 Mo 2.91, 4 In 2.91
Mo 0.7500 0.7500 0.7500  4 Nb 2.91, 4 Sc 2.91
In 0.2500 0.2500 0.2500  4 Nb 2.91, 4 Sc 2.91
Nb 0.5000 0.5000 0.5000  4 Mo 2.91, 4 In 2.91

Values from the calculation:
As for the formation enthalpy at 0 K: -0.03 eV/atom. The density of states at the Fermi level comes out at 4.411 states/eV per cell. As for the spin magnetization: 0.00 μB/cell. The value obtained for the raw total energy is -7.5272 eV/atom. Its symmetry is No. 216.

***

20.
NbInSnMo2: optimized geometry, GGA-PBE.

Unit cell a=4.8581 b=5.2998 c=4.8581 alpha=90.00 beta=90.00 gamma=90.00
Last column: nearest neighbours and their distance in Å.
Fractional positions:
Mo 0.5000 0.0000 0.0000  2 Nb 2.43
Mo 0.0000 0.0000 0.5000  2 Nb 2.43
In 0.5000 0.5000 0.5000  4 Sn 3.44, 8 Mo 3.59
Sn 0.0000 0.5000 0.0000  2 Nb 2.65
Nb 0.0000 0.0000 0.0000  4 Mo 2.43, 2 Sn 2.65

Values from the calculation:
As for the formation enthalpy at 0 K: 1.42 eV/atom. The density of states at the Fermi level comes out at 5.895 states/eV per cell. As for the spin magnetization: 2.00 μB/cell. The value obtained for the raw total energy is -6.2793 eV/atom. Its symmetry is No. 123.